Record 1
The following is a GGA-PBE calculation of a geometry-optimized Cs3KMn2Br8 structure, from Alexandria via LeMat-Bulk.

Its total moment is 10.00 μB per formula unit. As for the symmetry: P-3m1 (164). Its uncorrected formation energy is -1.375 eV per atom. The value obtained for the total energy is -3.903 eV/atom. Its volume is 601.5 Å³/f.u.

The structure in POSCAR format:
```
Cs3KMn2Br8
1.0
-7.304 -0.849 3.649
3.855 -6.576 -3.048
4.695 -1.447 9.060
Cs Br K Mn
3 8 1 2
Cartesian
0.000 0.000 0.000
3.076 -5.573 4.860
-1.830 -3.299 4.802
-0.168 -6.438 2.622
-2.112 -2.844 8.801
-0.251 -6.017 7.330
3.357 -6.028 0.861
1.497 -2.854 2.332
1.413 -2.434 7.040
-3.426 -2.807 1.723
4.671 -6.065 7.939
2.347 -0.724 4.530
0.159 -3.912 8.642
1.086 -4.960 1.020
```


Record 2
The following is a GGA-PBE calculation of a geometry-optimized Zr8Fe2Mo structure, from Alexandria via LeMat-Bulk.

Its total moment is 0.00 μB per formula unit. As for the symmetry: C2/m (12). The value obtained for the total energy is -8.179 eV/atom. Its volume is 265.6 Å³/f.u. The formation energy from the elements comes out at 0.5615 eV/atom.

The structure in POSCAR format:
```
Zr8Fe2Mo
1.0
0.264 0.615 -4.390
-4.554 -3.429 -0.754
-4.304 9.326 5.518
Zr Fe Mo
8 2 1
Cartesian
-1.864 0.626 -2.295
-4.195 -1.129 -2.681
-1.967 2.564 0.216
-6.731 5.885 2.669
-4.738 1.972 -2.276
-6.628 3.947 0.157
-3.857 4.540 2.650
-4.400 7.641 3.055
-6.411 3.185 2.311
-2.184 3.326 -1.937
0.000 0.000 0.000
```


Record 3
The following is a GGA-PBE calculation of a geometry-optimized BaLa2Si structure, from Alexandria via LeMat-Bulk.

Its total moment is 1.36 μB per formula unit. As for the symmetry: R3m (160). Its uncorrected formation energy is -0.230 eV per atom. The value obtained for the total energy is -4.531 eV/atom. Its volume is 169.0 Å³/f.u.

The structure in POSCAR format:
```
BaLa2Si
1.0
4.332 0.000 0.000
2.166 3.751 0.000
2.166 1.250 10.398
La Ba Si
2 1 1
Cartesian
2.166 1.250 1.639
2.166 1.250 8.769
4.332 2.501 5.160
4.332 2.501 0.030
```


Record 4
The following is a GGA-PBE calculation of a geometry-optimized CdTeMo2 structure, from Alexandria via LeMat-Bulk.

Its total moment is 0.00 μB per formula unit. As for the symmetry: Fm-3m (225). The relative energy among the computed polymorphs comes out at 382 meV/atom. Its uncorrected formation energy is 0.626 eV per atom. The value obtained for the total energy is -5.803 eV/atom. Its volume is 72.2 Å³/f.u.

The structure in POSCAR format:
```
CdTeMo2
1.0
0.117 -0.501 4.645
-3.417 1.801 2.631
-3.054 -2.831 2.122
Mo Te Cd
2 1 1
Cartesian
-4.766 -1.148 7.049
-1.589 -0.383 2.350
-3.177 -0.765 4.699
0.000 0.000 0.000
```


Record 5
The following is a GGA-PBE calculation of a geometry-optimized Tb3Dy6Y structure, from Alexandria via LeMat-Bulk.

Its total moment is 0.00 μB per formula unit. As for the symmetry: Cmc2_1 (36). The relative energy among the computed polymorphs comes out at 32 meV/atom. The value obtained for the total energy is -4.642 eV/atom. Its volume is 323.1 Å³/f.u. The formation energy from the elements comes out at 0.1543 eV/atom.

The structure in POSCAR format:
```
Tb3Dy6Y
1.0
-1.322 6.082 0.110
-10.658 -2.333 0.859
6.078 1.158 9.027
Y Tb Dy
2 6 12
Cartesian
2.526 1.265 7.394
-8.119 2.224 2.577
-4.891 2.503 4.105
-3.246 2.235 0.834
-0.538 0.232 5.852
-3.222 5.274 9.210
-6.263 1.461 7.348
-0.204 6.048 2.696
-0.351 2.064 9.095
0.556 4.105 6.819
-6.179 -0.479 3.154
-8.062 3.634 5.710
1.865 2.632 4.311
-10.475 0.273 1.254
-1.468 3.057 3.741
-2.360 -0.308 2.928
-5.846 4.203 0.926
4.166 6.505 8.776
-2.988 2.668 7.022
-3.880 -0.697 6.209
```


Record 6
The following is a GGA-PBE calculation of a geometry-optimized Nd2AlSi4Pd3 structure, from Alexandria via LeMat-Bulk.

Its total moment is 0.00 μB per formula unit. As for the symmetry: P-4m2 (115). Its uncorrected formation energy is -0.837 eV per atom. The value obtained for the total energy is -5.892 eV/atom. Its volume is 181.4 Å³/f.u.

The structure in POSCAR format:
```
Nd2AlSi4Pd3
1.0
4.182 0.000 0.000
0.000 4.182 0.000
0.000 0.000 10.369
Si Pd Nd Al
4 3 2 1
Cartesian
0.000 2.091 3.700
2.091 2.091 0.000
2.091 0.000 6.669
0.000 0.000 0.000
0.000 2.091 1.264
2.091 0.000 9.105
0.000 0.000 5.184
0.000 2.091 7.840
2.091 0.000 2.528
2.091 2.091 5.184
```


Record 7
The following is a GGA-PBE calculation of a geometry-optimized Cd2CuNi structure, from Alexandria via LeMat-Bulk.

Its total moment is 0.00 μB per formula unit. As for the symmetry: Fm-3m (225). The relative energy among the computed polymorphs comes out at 1 meV/atom. The value obtained for the total energy is -2.864 eV/atom. Its volume is 63.2 Å³/f.u. The formation energy from the elements comes out at 0.0628 eV/atom.

The structure in POSCAR format:
```
Cd2CuNi
1.0
0.000 3.162 3.162
3.162 0.000 3.162
3.162 3.162 0.000
Ni Cd Cu
1 2 1
Cartesian
0.000 0.000 0.000
4.742 4.742 4.742
1.581 1.581 1.581
3.162 3.162 3.162
```


Record 8
The following is a GGA-PBE calculation of a geometry-optimized AcLaCd4 structure, from Alexandria via LeMat-Bulk.

Its total moment is 0.00 μB per formula unit. As for the symmetry: Immm (71). The relative energy among the computed polymorphs comes out at 0 meV/atom. The value obtained for the total energy is -2.467 eV/atom. Its volume is 170.4 Å³/f.u. The formation energy from the elements comes out at -0.3507 eV/atom.

The structure in POSCAR format:
```
AcLaCd4
1.0
-2.148 -4.332 -1.845
4.156 -4.645 -1.191
-0.705 -4.586 4.328
Ac Cd La
1 4 1
Cartesian
0.651 -6.781 0.645
1.761 -9.780 -0.865
-0.738 -9.749 1.973
2.044 -3.814 -0.684
-0.460 -3.783 2.160
-1.074 -2.166 -0.923
```


Record 9
The following is a GGA-PBE calculation of a geometry-optimized BaP2W2 structure, from Alexandria via LeMat-Bulk.

Its total moment is 0.00 μB per formula unit. As for the symmetry: P4/mbm (127). The relative energy among the computed polymorphs comes out at 755 meV/atom. The value obtained for the total energy is -7.457 eV/atom. Its volume is 100.6 Å³/f.u. The formation energy from the elements comes out at 0.2731 eV/atom.

The structure in POSCAR format:
```
BaP2W2
1.0
-0.449 7.440 3.011
-7.862 0.200 -1.666
-0.626 -1.177 2.815
W Ba P
4 2 4
Cartesian
-7.605 4.108 1.748
-5.135 0.331 0.719
-3.802 6.133 3.441
-1.332 2.356 2.411
-4.155 3.820 0.672
0.000 0.000 0.000
-5.430 6.515 1.515
-2.881 1.125 -0.171
-1.401 4.802 1.696
-6.909 2.838 -0.351
```


Record 10
The following is a GGA-PBE calculation of a geometry-optimized Cr3SiRh4 structure, from Alexandria via LeMat-Bulk.

Its total moment is 3.78 μB per formula unit. As for the symmetry: I4/mmm (139). Its uncorrected formation energy is -0.235 eV per atom. The value obtained for the total energy is -8.197 eV/atom. Its volume is 105.5 Å³/f.u.

The structure in POSCAR format:
```
Cr3SiRh4
1.0
3.700 0.000 -0.999
-0.265 3.695 -0.982
0.087 0.058 7.676
Cr Rh Si
3 4 1
Cartesian
2.742 0.942 2.805
0.780 2.811 2.891
-0.133 1.847 -0.491
0.451 0.475 1.671
1.354 1.431 5.015
3.071 3.278 4.025
2.168 2.322 0.680
1.850 0.000 -0.499
```


Record 11
The following is a GGA-PBE calculation of a geometry-optimized SrMg6Ga structure, from Alexandria via LeMat-Bulk.

Its total moment is 0.00 μB per formula unit. As for the symmetry: Amm2 (38). The relative energy among the computed polymorphs comes out at 0 meV/atom. The value obtained for the total energy is -1.808 eV/atom. Its volume is 207.2 Å³/f.u. The formation energy from the elements comes out at -0.0230 eV/atom.

The structure in POSCAR format:
```
SrMg6Ga
1.0
3.047 1.057 6.738
-7.047 -1.336 -2.089
0.805 -4.874 0.400
Mg Sr Ga
6 1 1
Cartesian
-1.987 -2.495 4.297
-1.750 -0.246 0.528
-3.729 -0.384 2.827
-4.961 -0.841 -0.265
-0.697 0.169 3.464
0.088 -2.350 1.885
1.420 -1.861 5.163
-2.772 -2.855 1.498
```


Record 12
The following is a GGA-PBE calculation of a geometry-optimized LiLaTb2 structure, from Alexandria via LeMat-Bulk.

Its total moment is 0.00 μB per formula unit. As for the symmetry: R-3m (166). The relative energy among the computed polymorphs comes out at 119 meV/atom. The value obtained for the total energy is -3.824 eV/atom. Its volume is 131.3 Å³/f.u. The formation energy from the elements comes out at 0.2014 eV/atom.

The structure in POSCAR format:
```
LiLaTb2
1.0
-1.342 -3.211 0.465
1.567 -2.258 2.186
-6.799 2.392 10.166
Tb Li La
2 1 1
Cartesian
-4.982 1.278 7.712
-1.592 -4.355 5.105
0.000 0.000 0.000
-3.287 -1.538 6.408
```


Record 13
The following is a GGA-PBE calculation of a geometry-optimized TlAu3I structure, from Alexandria via LeMat-Bulk.

Its total moment is 0.00 μB per formula unit. As for the symmetry: Pm-3m (221). The relative energy among the computed polymorphs comes out at 0 meV/atom. Its uncorrected formation energy is 0.585 eV per atom. The value obtained for the total energy is -2.164 eV/atom. Its volume is 163.6 Å³/f.u.

The structure in POSCAR format:
```
TlAu3I
1.0
-0.681 5.119 1.802
-5.367 -0.367 -0.987
-0.803 -1.891 5.069
Tl Au I
1 3 1
Cartesian
-3.425 1.430 2.942
-0.401 -0.946 2.534
-2.683 -0.183 -0.493
-0.341 2.559 0.901
0.000 0.000 0.000
```